No. 1
A geometry-optimized Ac3CeN4 structure. Source: Alexandria via LeMat-Bulk, functional PBE-GGA.

Lattice parameters (Å, degrees): 8.3636 7.2192 6.2941 90.00 90.00 90.00
Fractional coordinates of all 16 atoms:
1 Ac 0.0000 0.1581 0.0000
2 Ac 0.2487 0.3302 0.4998
3 Ac 0.2513 0.6698 0.9998
4 Ac 0.5000 0.8419 0.5000
5 Ac 0.7487 0.6698 0.9998
6 Ac 0.7513 0.3302 0.4998
7 Ce 0.0000 0.8279 0.4964
8 Ce 0.5000 0.1721 0.9964
9 N 0.0000 0.1424 0.5911
10 N 0.0000 0.8278 0.1284
11 N 0.2372 0.6756 0.5902
12 N 0.2628 0.3244 0.0902
13 N 0.5000 0.1722 0.6284
14 N 0.5000 0.8576 0.0911
15 N 0.7372 0.3244 0.0902
16 N 0.7628 0.6756 0.5902

Properties
Total energy ... -7.5938 eV/atom
Formation energy without anion corrections ... -111 kJ per mole of atoms


No. 2
A geometry-optimized MoCl3 structure. Source: Alexandria via LeMat-Bulk, functional PBE-GGA.

Lattice parameters (Å, degrees): 3.2209 11.1710 6.7159 90.00 90.00 90.00
Fractional coordinates of all 8 atoms:
1 Mo 0.0000 0.0000 0.0000
2 Mo 0.5000 0.5000 0.5000
3 Cl 0.0000 0.3551 0.3605
4 Cl 0.0000 0.5000 0.7785
5 Cl 0.0000 0.6449 0.3605
6 Cl 0.5000 0.0000 0.2785
7 Cl 0.5000 0.1449 0.8605
8 Cl 0.5000 0.8551 0.8605

Properties
Total energy ... -4.6745 eV/atom
Formation energy without anion corrections ... -56 kJ per mole of atoms


No. 3
A geometry-optimized SmGa3Cu8 structure. Source: Alexandria via LeMat-Bulk, functional PBE-GGA.

Lattice parameters (Å, degrees): 4.9482 4.9482 8.3290 90.00 90.00 120.00
Fractional coordinates of all 12 atoms:
1 Sm 0.0000 0.0000 0.0000
2 Ga 0.0000 0.0000 0.3800
3 Ga 0.6667 0.3333 0.4875
4 Ga 0.6667 0.3333 0.8363
5 Cu 0.1646 0.3292 0.6740
6 Cu 0.1646 0.8354 0.6740
7 Cu 0.3333 0.6667 0.4339
8 Cu 0.3333 0.6667 0.9251
9 Cu 0.5020 0.0041 0.1961
10 Cu 0.5020 0.4980 0.1961
11 Cu 0.6708 0.8354 0.6740
12 Cu 0.9959 0.4980 0.1961

Properties
Total energy ... -3.9847 eV/atom
Formation energy ... -10.0 kJ/mol of atoms


No. 4
A geometry-optimized TaInIr structure. Source: Alexandria via LeMat-Bulk, functional PBE-GGA.

Lattice parameters (Å, degrees): 2.9740 2.9740 7.0203 90.00 90.00 120.00
Fractional coordinates of all 3 atoms:
1 Ta 0.0000 0.0000 0.0000
2 In 0.3333 0.6667 0.3617
3 Ir 0.6667 0.3333 0.6995

Properties
Total energy ... -7.8289 eV/atom
Formation energy ... -1.1 kJ/mol of atoms


Number 3 is which compound? SmGa3Cu8


What is the formula in the fourth record? TaInIr


The highest total energy belongs to which entry? SmGa3Cu8